Here is PmThTePb after structural relaxation from the Alexandria database. Energies are from PBE.

Lattice parameters (Å, degrees): 4.565 4.565 7.735 72.84 72.84 60.00
Fractional positions:
Pm 0.502 0.502 0.495
Th 0.998 0.998 0.005
Te 0.751 0.751 0.748
Pb 0.250 0.250 0.251

Values from the calculation:
Excess energy over the best structure of this formula in the dataset: 0 meV per atom

Here is PmThTePb after structural relaxation from the Alexandria database. Energies are from PBE.

Lattice parameters (Å, degrees): 5.508 5.508 5.508 60.00 60.00 60.00
Fractional positions:
Pb 0.750 0.750 0.750
Te 0.250 0.250 0.250
Th 0.000 0.000 0.000
Pm 0.500 0.500 0.500

Values from the calculation:
Excess energy over the best structure of this formula in the dataset: 144 meV per atom

Here is Pm6TlTe3Pb2 after structural relaxation from the Alexandria database. Energies are from PBE.

Lattice parameters (Å, degrees): 4.482 9.087 10.175 105.53 102.72 90.00
Fractional positions:
Pm 0.334 0.917 0.667
Pm 0.668 0.578 0.336
Pm 0.666 0.083 0.333
Pm 0.999 0.251 0.998
Pm 0.001 0.749 0.002
Pm 0.332 0.422 0.664
Tl 0.500 0.000 0.000
Te 0.500 0.500 0.000
Te 0.832 0.169 0.664
Te 0.168 0.831 0.336
Pb 0.835 0.671 0.670
Pb 0.165 0.329 0.330

Here is Pm6Tl2Te3Pb after structural relaxation from the Alexandria database. Energies are from PBE.

Lattice parameters (Å, degrees): 4.511 8.992 10.421 111.76 102.50 90.00
Fractional positions:
Pm 0.331 0.865 0.662
Pm 0.660 0.639 0.321
Pm 0.669 0.135 0.338
Pm 0.008 0.252 0.016
Pm 0.992 0.748 0.984
Pm 0.340 0.361 0.679
Tl 0.811 0.589 0.622
Tl 0.189 0.411 0.378
Te 0.500 0.500 0.000
Te 0.836 0.118 0.672
Te 0.164 0.882 0.328
Pb 0.500 0.000 0.000

| no. | magnetic moment (μB per cell) | formation energy without anion corrections (eV/atom) | calculated volume (A^3/atom) |
| --- | --- | --- | --- |
| 1 | 0.0 | -0.838 | 32.81 |
| 2 | 0.0 | -0.694 | 29.53 |
| 3 | 0.0 | -0.962 | 32.39 |
| 4 | 0.0 | -0.927 | 31.81 |